Record 1
Computed, not measured: a relaxed ZnHg2Br crystal at the PBE-GGA level of DFT.

Output
- Symmetry: R3m, No. 160
- Formation energy (no corrections): -185 meV/atom

abc: 8.794 8.794 8.794
angles: 25.37 25.37 25.37
Fractional coordinates of all 4 atoms:
1 Br 0.226 0.226 0.226
2 Hg 0.009 0.009 0.009
3 Hg 0.767 0.767 0.767
4 Zn 0.499 0.499 0.499

***

Record 2
Computed, not measured: a relaxed Tm6TlZn2 crystal at the PBE-GGA level of DFT.

Output
- Symmetry: I4/mmm, No. 139
- Calculated formation energy: 6 meV/atom

abc: 4.930 4.930 11.214
angles: 102.70 102.70 90.00
Fractional coordinates of all 9 atoms:
1 Tm 0.410 0.910 0.820
2 Tm 0.590 0.090 0.180
3 Tm 0.090 0.590 0.180
4 Tm 0.910 0.410 0.820
5 Tm 0.250 0.750 0.500
6 Tm 0.750 0.250 0.500
7 Zn 0.332 0.332 0.664
8 Zn 0.668 0.668 0.336
9 Tl 0.000 0.000 0.000

***

Record 3
Computed, not measured: a relaxed Cu2ReAg crystal at the PBE-GGA level of DFT.

Output
- Symmetry: Cmm2, No. 35
- Calculated formation energy: 340 meV/atom

abc: 2.646 2.646 8.104
angles: 90.00 90.00 88.24
Fractional coordinates of all 4 atoms:
1 Cu 0.000 0.000 0.020
2 Cu 0.500 0.500 0.239
3 Re 0.000 0.000 0.478
4 Ag 0.500 0.500 0.763

***

Record 4
Computed, not measured: a relaxed CeCuH2 crystal at the PBE-GGA level of DFT.

Output
- Final energy: -3.995 eV/atom
- Symmetry: R-3m, No. 166

abc: 2.919 2.919 6.326
angles: 76.66 76.66 60.00
Fractional coordinates of all 4 atoms:
1 H 0.875 0.875 0.375
2 H 0.125 0.125 0.625
3 Ce 0.000 0.000 0.000
4 Cu 0.500 0.500 0.500

***

Record 5
Computed, not measured: a relaxed KRb2Pb2 crystal at the PBE-GGA level of DFT.

Output
- Symmetry: C2/c, No. 15
- Calculated formation energy: -91 meV/atom

abc: 6.548 7.539 11.333
angles: 104.27 90.00 115.74
Fractional coordinates of all 10 atoms:
1 Pb 0.390 0.279 0.463
2 Pb 0.610 0.721 0.537
3 Pb 0.111 0.721 0.037
4 Pb 0.889 0.279 0.963
5 Rb 0.407 0.314 0.135
6 Rb 0.093 0.686 0.365
7 Rb 0.593 0.686 0.865
8 Rb 0.907 0.314 0.635
9 K 0.249 0.000 0.750
10 K 0.751 0.000 0.250

***

Record 6
Computed, not measured: a relaxed Ce3CdS6 crystal at the PBE-GGA level of DFT.

Output
- Symmetry: Cmc2_1, No. 36
- Formation energy (no corrections): -1675 meV/atom

abc: 6.758 8.699 8.699
angles: 102.45 90.00 90.00
Fractional coordinates of all 20 atoms:
1 S 0.689 0.972 0.028
2 S 0.184 0.366 0.312
3 S 0.141 0.777 0.223
4 S 0.189 0.028 0.972
5 S 0.641 0.223 0.777
6 S 0.215 0.447 0.904
7 S 0.715 0.904 0.447
8 S 0.684 0.312 0.366
9 S 0.684 0.634 0.688
10 S 0.184 0.688 0.634
11 S 0.715 0.553 0.096
12 S 0.215 0.096 0.553
13 Cd 0.008 0.196 0.804
14 Cd 0.508 0.804 0.196
15 Ce 0.977 0.081 0.285
16 Ce 0.477 0.285 0.081
17 Ce 0.977 0.715 0.919
18 Ce 0.894 0.603 0.397
19 Ce 0.477 0.919 0.715
20 Ce 0.394 0.397 0.603

***

Record 7
Computed, not measured: a relaxed TlBiS2 crystal at the PBE-GGA level of DFT.

Output
- Symmetry: R-3m, No. 166
- Formation energy (no corrections): -40 meV/atom

abc: 8.864 8.864 8.864
angles: 25.25 25.25 25.25
Fractional coordinates of all 4 atoms:
1 Tl 0.500 0.500 0.500
2 S 0.107 0.107 0.107
3 S 0.893 0.893 0.893
4 Bi 0.000 0.000 0.000

***

Record 8
Computed, not measured: a relaxed Nd2AsRh crystal at the PBE-GGA level of DFT.

Output
- Symmetry: R-3m, No. 166
- Calculated formation energy: -905 meV/atom

abc: 4.190 4.190 7.372
angles: 73.49 73.49 60.00
Fractional coordinates of all 4 atoms:
1 Nd 0.752 0.752 0.743
2 Nd 0.248 0.248 0.257
3 As 0.000 0.000 0.000
4 Rh 0.500 0.500 0.500